Here is a relaxed structure of Hg4As2Br3 from Alexandria. Energies are from PBE.

a = 14.154 Å, b = 12.246 Å, c = 7.384 Å
α = 90.00°, β = 103.92°, γ = 90.00°
Space group C2/c (No. 15)
Asymmetric unit:
Hg: 0.095 0.123 0.035 (multiplicity 8)
Hg: 0.178 0.494 0.627 (multiplicity 8)
As: 0.225 0.352 0.914 (multiplicity 8)
Br: 0.000 0.436 0.250 (multiplicity 4)
Br: 0.090 0.140 0.528 (multiplicity 8)

Total magnetization (μB/f.u.): 0.00
V (Å³ per cell): 1242.3
Total energy (eV/atom): -1.900
Excess energy over the best structure of this formula in the dataset (eV per formula unit): 0.83

***

Here is a relaxed structure of Hg4As2Br3 from Alexandria. Energies are from PBE.

a = 12.997 Å, b = 12.997 Å, c = 12.997 Å
α = 90.00°, β = 90.00°, γ = 90.00°
Space group Pa-3 (No. 205)
Asymmetric unit:
Hg: 0.001 0.245 0.032 (multiplicity 24)
Hg: 0.222 0.722 0.778 (multiplicity 8)
As: 0.054 0.054 0.054 (multiplicity 8)
As: 0.108 0.608 0.892 (multiplicity 8)
Br: 0.066 0.235 0.314 (multiplicity 24)

Total magnetization (μB/f.u.): 0.00
V (Å³ per cell): 2195.7
Total energy (eV/atom): -1.992
Excess energy over the best structure of this formula in the dataset (eV per formula unit): 0.00

***

Here is a relaxed structure of Hg2AsBr from Alexandria. Energies are from PBE.

a = 4.102 Å, b = 6.447 Å, c = 8.164 Å
α = 90.00°, β = 90.00°, γ = 90.00°
Space group Cmmm (No. 65)
Asymmetric unit:
Hg: 0.000 0.000 0.229 (multiplicity 4)
As: 0.000 0.500 0.000 (multiplicity 2)
Br: 0.000 0.500 0.500 (multiplicity 2)

Total magnetization (μB/f.u.): 0.00
V (Å³ per cell): 215.9
Total energy (eV/atom): -1.617
Excess energy over the best structure of this formula in the dataset (eV per formula unit): 1.29

***

Here is a relaxed structure of HgAs3Br from Alexandria. Energies are from PBE.

a = 5.156 Å, b = 5.156 Å, c = 5.156 Å
α = 90.00°, β = 90.00°, γ = 90.00°
Space group Pm-3m (No. 221)
Asymmetric unit:
Hg: 0.000 0.000 0.000 (multiplicity 1)
As: 0.000 0.500 0.500 (multiplicity 3)
Br: 0.500 0.500 0.500 (multiplicity 1)

Total magnetization (μB/f.u.): 0.00
V (Å³ per cell): 137.1
Total energy (eV/atom): -2.023
Excess energy over the best structure of this formula in the dataset (eV per formula unit): 0.47

***

Here is a relaxed structure of Hg3AsBr2 from Alexandria. Energies are from PBE.

a = 7.372 Å, b = 8.505 Å, c = 8.614 Å
α = 64.77°, β = 85.69°, γ = 73.33°
Space group P-1 (No. 2)
Asymmetric unit:
Hg: 0.145 0.067 0.427 (multiplicity 2)
Hg: 0.311 0.499 0.265 (multiplicity 2)
Hg: 0.317 0.289 0.986 (multiplicity 2)
As: 0.441 0.180 0.290 (multiplicity 2)
Br: 0.165 0.438 0.682 (multiplicity 2)
Br: 0.255 0.838 0.175 (multiplicity 2)

Total magnetization (μB/f.u.): 0.00
V (Å³ per cell): 467.3
Total energy (eV/atom): -1.714

***

Here is a relaxed structure of HgAs4Br from Alexandria. Energies are from PBE.

a = 8.742 Å, b = 8.742 Å, c = 8.742 Å
α = 90.00°, β = 90.00°, γ = 90.00°
Space group F-43m (No. 216)
Asymmetric unit:
Hg: 0.000 0.000 0.000 (multiplicity 4)
As: 0.101 0.101 0.601 (multiplicity 16)
Br: 0.250 0.250 0.250 (multiplicity 4)

Total magnetization (μB/f.u.): 0.00
V (Å³ per cell): 668.1
Total energy (eV/atom): -3.258

***

Here is a relaxed structure of Hg4As2Br5 from Alexandria. Energies are from PBE.

a = 4.435 Å, b = 9.569 Å, c = 9.831 Å
α = 70.93°, β = 77.37°, γ = 78.57°
Space group P-1 (No. 2)
Asymmetric unit:
Hg: 0.121 0.254 0.034 (multiplicity 2)
Hg: 0.374 0.424 0.343 (multiplicity 2)
As: 0.421 0.585 0.072 (multiplicity 2)
Br: 0.000 0.000 0.000 (multiplicity 1)
Br: 0.020 0.799 0.673 (multiplicity 2)
Br: 0.274 0.323 0.623 (multiplicity 2)

Total magnetization (μB/f.u.): 0.00
V (Å³ per cell): 381.1
Total energy (eV/atom): -1.962

***

Here is a relaxed structure of Hg2AsBr from Alexandria. Energies are from PBE.

a = 8.110 Å, b = 10.411 Å, c = 7.643 Å
α = 90.00°, β = 90.00°, γ = 90.00°
Space group Pna2_1 (No. 33)
Asymmetric unit:
Hg: 0.011 0.119 0.000 (multiplicity 4)
Hg: 0.227 0.746 0.902 (multiplicity 4)
As: 0.019 0.110 0.339 (multiplicity 4)
Br: 0.196 0.709 0.317 (multiplicity 4)

Total magnetization (μB/f.u.): 0.00
V (Å³ per cell): 645.3
Total energy (eV/atom): -1.910
Excess energy over the best structure of this formula in the dataset (eV per formula unit): 0.12

***

Here is a relaxed structure of Hg2AsBr from Alexandria. Energies are from PBE.

a = 4.029 Å, b = 4.029 Å, c = 14.715 Å
α = 90.00°, β = 90.00°, γ = 90.00°
Space group I-4m2 (No. 119)
Asymmetric unit:
Hg: 0.000 0.000 0.000 (multiplicity 2)
Hg: 0.000 0.500 0.250 (multiplicity 2)
As: 0.000 0.500 0.750 (multiplicity 2)
Br: 0.000 0.000 0.500 (multiplicity 2)

Total magnetization (μB/f.u.): 0.66
V (Å³ per cell): 238.8
Total energy (eV/atom): -1.482
Excess energy over the best structure of this formula in the dataset (eV per formula unit): 1.83

***

Here is a relaxed structure of Hg4As2Br3 from Alexandria. Energies are from PBE.

a = 11.567 Å, b = 12.370 Å, c = 8.054 Å
α = 90.00°, β = 105.40°, γ = 90.00°
Space group C2/c (No. 15)
Asymmetric unit:
Hg: 0.099 0.174 0.055 (multiplicity 8)
Hg: 0.185 0.483 0.570 (multiplicity 8)
As: 0.179 0.367 0.838 (multiplicity 8)
Br: 0.000 0.350 0.250 (multiplicity 4)
Br: 0.126 0.143 0.607 (multiplicity 8)

Total magnetization (μB/f.u.): 0.00
V (Å³ per cell): 1111.0
Total energy (eV/atom): -1.879
Excess energy over the best structure of this formula in the dataset (eV per formula unit): 1.02

***

Here is a relaxed structure of HgAsBr6 from Alexandria. Energies are from PBE.

a = 6.8644 Å, b = 6.8644 Å, c = 18.4555 Å
α = 90.00°, β = 90.00°, γ = 120.00°
Space group R-3 (No. 148, hexagonal axes)
Asymmetric unit:
Hg: 0.0000 0.0000 0.0000 (multiplicity 3)
As: 0.0000 0.0000 0.5000 (multiplicity 3)
Br: 0.0007 0.6886 0.5803 (multiplicity 18)

Total magnetization (μB/f.u.): 0.00
V (Å³ per cell): 753.1
Total energy (eV/atom): -2.092

***

Here is a relaxed structure of HgAs2Br8 from Alexandria. Energies are from PBE.

a = 14.177 Å, b = 10.369 Å, c = 8.293 Å
α = 90.00°, β = 96.46°, γ = 90.00°
Space group C2/m (No. 12)
Asymmetric unit:
Hg: 0.000 0.000 0.000 (multiplicity 2)
As: 0.212 0.000 0.383 (multiplicity 4)
Br: 0.041 0.000 0.722 (multiplicity 4)
Br: 0.129 0.500 0.497 (multiplicity 4)
Br: 0.215 0.176 0.198 (multiplicity 8)

Total magnetization (μB/f.u.): 0.00
V (Å³ per cell): 1211.4
Total energy (eV/atom): -2.513
Excess energy over the best structure of this formula in the dataset (eV per formula unit): 0.00